CuTc2Pb | meta-GGA SCAN | PBEsol geometry

```
CuTc2Pb
1.0
-2.364 -1.637 0.443
1.262 -0.209 4.472
-1.965 4.796 -1.567
Cu Pb Tc
1 1 2
Cartesian
-1.182 -0.819 0.222
0.631 -0.105 2.236
-0.982 2.398 -0.784
-1.533 1.475 1.674
```

Summary:
- space group = C2/m
- formation enthalpy at 0 K (eV/atom) = 0.749

---

CuTePb | meta-GGA SCAN | PBEsol geometry

```
CuTePb
1.0
3.466 0.033 0.000
-0.940 3.337 0.000
-1.263 -1.685 6.187
Cu Pb Te
1 1 1
Cartesian
1.263 1.685 6.075
1.263 1.685 1.695
0.000 0.000 4.603
```

Summary:
- E_form (uncorrected) (eV/atom) = 0.1496
- space group = Fmm2